First-principles (GGA-PBE) data for a relaxed structure of SmCdGaPt, as listed in the Alexandria database.

## Properties
For the formation energy, the calculation gives -0.61 eV per atom. As for the crystal system: cubic. The uncorrected energy is -4.286 eV per atom.

Lattice parameters (Å, degrees): 4.8901 4.8901 4.8901 60.00 60.00 60.00
With the nearest neighbours (Å) after each atom.
Fractional coordinates of all 4 atoms:
Sm (0.0000, 0.0000, 0.0000)  4 Ga 2.99, 4 Pt 2.99
Cd (0.5000, 0.5000, 0.5000)  4 Ga 2.99, 4 Pt 2.99
Ga (0.7500, 0.7500, 0.7500)  4 Sm 2.99, 4 Cd 2.99
Pt (0.2500, 0.2500, 0.2500)  4 Cd 2.99, 4 Sm 2.99



First-principles (GGA-PBE) data for a relaxed structure of LiGaSe2, as listed in the Alexandria database.

## Properties
The formation energy from raw total energies comes out at -1.82 eV per formula unit. As for the crystal system: orthorhombic. The uncorrected energy is -3.432 eV per atom.

Lattice parameters (Å, degrees): 11.0385 11.0385 5.6761 90.00 90.00 166.38
With the nearest neighbours (Å) after each atom.
Fractional coordinates of all 8 atoms:
Li (0.1830, 0.8170, 0.7500)  2 Li 2.62, 3 Se 2.64-2.75
Li (0.8170, 0.1830, 0.2500)  2 Li 2.62, 3 Se 2.64-2.75
Ga (0.4303, 0.5697, 0.7500)  2 Ga 2.62, 3 Se 2.78-2.84
Ga (0.5697, 0.4303, 0.2500)  2 Ga 2.62, 3 Se 2.78-2.84
Se (0.3034, 0.6966, 0.7500)  2 Se 2.62, 1 Li 2.64, 1 Ga 2.78
Se (0.4274, 0.5726, 0.2500)  2 Se 2.62, 2 Li 2.75, 2 Ga 2.84
Se (0.5726, 0.4274, 0.7500)  2 Se 2.62, 2 Li 2.75, 2 Ga 2.84
Se (0.6966, 0.3034, 0.2500)  2 Se 2.62, 1 Li 2.64, 1 Ga 2.78



First-principles (GGA-PBE) data for a relaxed structure of Cd4SnPb, as listed in the Alexandria database.

## Properties
Its polymorph energy (0 for the lowest one) is 0 meV/atom. For the formation energy, the calculation gives 0.07 eV per atom. As for the crystal system: orthorhombic. The uncorrected energy is -1.825 eV per atom.

Lattice parameters (Å, degrees): 3.2188 5.6210 8.6160 90.00 90.00 90.00
With the nearest neighbours (Å) after each atom.
Fractional coordinates of all 6 atoms:
Cd (0.0000, 0.0000, 0.0000)  3 Cd 2.96-3.22, 2 Sn 3.30
Cd (0.0000, 0.0000, 0.3435)  3 Cd 2.96-3.22, 2 Sn 3.21
Cd (0.0000, 0.5000, 0.5876)  4 Cd 3.07-3.22, 4 Sn 3.31, 2 Pb 3.31
Cd (0.5000, 0.5000, 0.8912)  8 Cd 3.07-3.37, 1 Pb 3.10, 2 Sn 3.42
Sn (0.5000, 0.0000, 0.6655)  10 Cd 3.21-3.42, 2 Sn 3.22
Pb (0.5000, 0.5000, 0.2513)  7 Cd 3.10-3.33, 2 Pb 3.22



First-principles (GGA-PBE) data for a relaxed structure of TbSm7Sc3, as listed in the Alexandria database.

## Properties
For the formation energy, the calculation gives 0.24 eV per atom. As for the crystal system: orthorhombic. The uncorrected energy is -4.907 eV per atom.

Lattice parameters (Å, degrees): 8.3017 8.3017 8.3017 139.18 99.46 94.52
With the nearest neighbours (Å) after each atom.
Fractional coordinates of all 11 atoms:
Tb (0.0000, 0.0000, 0.0000)  2 Sm 2.90
Sm (0.0000, 0.5000, 0.5000)  2 Tb 2.90
Sm (0.1021, 0.2909, 0.8112)  2 Sc 3.11-3.46, 2 Sm 3.31
Sm (0.3036, 0.0000, 0.3036)  2 Sc 3.17, 1 Tb 3.26, 2 Sm 3.50
Sm (0.4798, 0.2909, 0.1888)  2 Sc 3.11-3.46, 2 Sm 3.31
Sm (0.5202, 0.7091, 0.8112)  2 Sc 3.11-3.46, 2 Sm 3.31
Sm (0.6964, 0.0000, 0.6964)  2 Sc 3.17, 1 Tb 3.26, 2 Sm 3.50
Sm (0.8979, 0.7091, 0.1888)  2 Sc 3.11-3.46, 2 Sm 3.31
Sc (0.2894, 0.7894, 0.5000)  9 Sm 3.17-3.53
Sc (0.5000, 0.5000, 0.0000)  4 Sm 3.11
Sc (0.7106, 0.2106, 0.5000)  9 Sm 3.17-3.53



First-principles (GGA-PBE) data for a relaxed structure of B, as listed in the Alexandria database.

## Properties
Its polymorph energy (0 for the lowest one) is 0 meV/atom. For the formation energy, the calculation gives 0.00 eV per atom. As for the crystal system: trigonal. The uncorrected energy is -6.677 eV per atom.

Lattice parameters (Å, degrees): 5.0505 5.0505 5.0505 58.04 58.04 58.04
With the nearest neighbours (Å) after each atom.
Fractional coordinates of all 12 atoms:
B (0.0103, 0.0103, 0.6540)  6 B 1.67-1.80
B (0.0103, 0.6540, 0.0103)  6 B 1.67-1.80
B (0.2211, 0.2211, 0.6305)  5 B 1.78-1.80
B (0.2211, 0.6305, 0.2211)  5 B 1.78-1.80
B (0.3460, 0.9897, 0.9897)  6 B 1.67-1.80
B (0.3695, 0.7789, 0.7789)  5 B 1.78-1.80
B (0.6305, 0.2211, 0.2211)  5 B 1.78-1.80
B (0.6540, 0.0103, 0.0103)  6 B 1.67-1.80
B (0.7789, 0.3695, 0.7789)  5 B 1.78-1.80
B (0.7789, 0.7789, 0.3695)  5 B 1.78-1.80
B (0.9897, 0.3460, 0.9897)  6 B 1.67-1.80
B (0.9897, 0.9897, 0.3460)  6 B 1.67-1.80



First-principles (GGA-PBE) data for a relaxed structure of MoIrPt2, as listed in the Alexandria database.

## Properties
Its polymorph energy (0 for the lowest one) is 305 meV/atom. For the formation energy, the calculation gives 0.05 eV per atom. As for the crystal system: tetragonal. The uncorrected energy is -7.890 eV per atom.

Lattice parameters (Å, degrees): 3.4041 3.4041 5.4130 90.00 90.00 90.00
With the nearest neighbours (Å) after each atom.
Fractional coordinates of all 4 atoms:
Mo (0.0000, 0.0000, 0.0000)  2 Ir 2.71, 8 Pt 2.77
Ir (0.0000, 0.0000, 0.5000)  2 Mo 2.71, 8 Pt 2.76
Pt (0.5000, 0.5000, 0.2519)  2 Pt 2.69-2.73, 4 Ir 2.76, 4 Mo 2.77
Pt (0.5000, 0.5000, 0.7481)  2 Pt 2.69-2.73, 4 Ir 2.76, 4 Mo 2.77



First-principles (GGA-PBE) data for a relaxed structure of Tb6GaSe3S2, as listed in the Alexandria database.

## Properties
The formation energy from raw total energies comes out at -20.09 eV per formula unit. As for the crystal system: monoclinic. The uncorrected energy is -5.801 eV per atom.

Lattice parameters (Å, degrees): 9.1454 9.1454 8.2597 104.10 104.10 25.17
With the nearest neighbours (Å) after each atom.
Fractional coordinates of all 12 atoms:
Tb (0.0036, 0.0036, 0.2480)  2 Ga 2.85, 1 S 2.85, 3 Se 2.89-2.97
Tb (0.3294, 0.3294, 0.4295)  3 S 2.78, 3 Se 2.93-2.95
Tb (0.3365, 0.3365, 0.9074)  2 S 2.81, 1 Ga 2.83, 3 Se 2.92-2.96
Tb (0.6635, 0.6635, 0.0926)  2 S 2.81, 1 Ga 2.83, 3 Se 2.92-2.96
Tb (0.6706, 0.6706, 0.5705)  3 S 2.78, 3 Se 2.93-2.95
Tb (0.9964, 0.9964, 0.7520)  2 Ga 2.85, 1 S 2.85, 3 Se 2.89-2.97
Ga (0.5000, 0.5000, 0.0000)  6 Tb 2.83-2.85
Se (0.1678, 0.1678, 0.8295)  6 Tb 2.92-2.97
Se (0.5000, 0.5000, 0.5000)  6 Tb 2.89-2.95
Se (0.8322, 0.8322, 0.1705)  6 Tb 2.92-2.97
S (0.1686, 0.1686, 0.3347)  6 Tb 2.78-2.85
S (0.8314, 0.8314, 0.6653)  6 Tb 2.78-2.85



First-principles (GGA-PBE) data for a relaxed structure of Hf2ZrGa2, as listed in the Alexandria database.

## Properties
Its polymorph energy (0 for the lowest one) is 300 meV/atom. For the formation energy, the calculation gives -0.16 eV per atom. As for the crystal system: tetragonal. The uncorrected energy is -7.066 eV per atom.

Lattice parameters (Å, degrees): 8.1741 8.1741 2.9850 90.00 90.00 90.00
With the nearest neighbours (Å) after each atom.
Fractional coordinates of all 10 atoms:
Hf (0.1270, 0.3730, 0.0000)  6 Ga 2.76-2.89, 3 Hf 2.94-2.99
Hf (0.3730, 0.8730, 0.0000)  6 Ga 2.76-2.89, 3 Hf 2.94-2.99
Hf (0.6270, 0.1270, 0.0000)  6 Ga 2.76-2.89, 3 Hf 2.94-2.99
Hf (0.8730, 0.6270, 0.0000)  6 Ga 2.76-2.89, 3 Hf 2.94-2.99
Zr (0.0000, 0.0000, 0.0000)  2 Zr 2.99, 4 Hf 3.22
Zr (0.5000, 0.5000, 0.0000)  2 Zr 2.99, 4 Hf 3.22
Ga (0.1717, 0.6717, 0.5000)  6 Hf 2.76-2.89, 2 Ga 2.99
Ga (0.3283, 0.1717, 0.5000)  6 Hf 2.76-2.89, 2 Ga 2.99
Ga (0.6717, 0.8283, 0.5000)  6 Hf 2.76-2.89, 2 Ga 2.99
Ga (0.8283, 0.3283, 0.5000)  6 Hf 2.76-2.89, 2 Ga 2.99



First-principles (GGA-PBE) data for a relaxed structure of Pm8ErTm2, as listed in the Alexandria database.

## Properties
Its polymorph energy (0 for the lowest one) is 0 meV/atom. For the formation energy, the calculation gives 0.11 eV per atom. As for the crystal system: orthorhombic. The uncorrected energy is -4.569 eV per atom.

Lattice parameters (Å, degrees): 9.4216 9.4216 9.4216 145.15 128.17 63.98
With the nearest neighbours (Å) after each atom.
Fractional coordinates of all 11 atoms:
Pm (0.1593, 0.3636, 0.7957)  1 Er 3.27, 4 Pm 3.36-3.62, 3 Tm 3.44-3.56
Pm (0.1633, 0.1633, 0.0000)  8 Pm 3.56-3.75, 2 Tm 3.56, 2 Er 3.84
Pm (0.2938, 0.0000, 0.2938)  7 Pm 3.40-3.57, 2 Tm 3.63, 2 Er 3.72
Pm (0.4322, 0.6364, 0.7957)  1 Er 3.27, 4 Pm 3.36-3.62, 3 Tm 3.44-3.56
Pm (0.5678, 0.3636, 0.2043)  1 Er 3.27, 4 Pm 3.36-3.62, 3 Tm 3.44-3.56
Pm (0.7062, 0.0000, 0.7062)  7 Pm 3.40-3.57, 2 Tm 3.63, 2 Er 3.72
Pm (0.8367, 0.8367, 0.0000)  8 Pm 3.56-3.75, 2 Tm 3.56, 2 Er 3.84
Pm (0.8407, 0.6364, 0.2043)  1 Er 3.27, 4 Pm 3.36-3.62, 3 Tm 3.44-3.56
Er (0.0000, 0.5000, 0.5000)  4 Pm 3.27
Tm (0.2989, 0.7989, 0.5000)  10 Pm 3.44-3.63
Tm (0.7011, 0.2011, 0.5000)  10 Pm 3.44-3.63



First-principles (GGA-PBE) data for a relaxed structure of TbLuIr, as listed in the Alexandria database.

## Properties
Its polymorph energy (0 for the lowest one) is 0 meV/atom. For the formation energy, the calculation gives -0.73 eV per atom. As for the crystal system: cubic. The uncorrected energy is -6.735 eV per atom.

Lattice parameters (Å, degrees): 4.7680 4.7680 4.7680 60.00 60.00 60.00
With the nearest neighbours (Å) after each atom.
Fractional coordinates of all 3 atoms:
Tb (0.0000, 0.0000, 0.0000)  4 Ir 2.92
Lu (0.5000, 0.5000, 0.5000)  4 Ir 2.92
Ir (0.7500, 0.7500, 0.7500)  4 Tb 2.92, 4 Lu 2.92